TlGaBiAu2: optimized geometry, PBE-GGA.

a = 8.1254 Å, b = 8.1254 Å, c = 8.6015 Å
α = 120.37°, β = 120.37°, γ = 31.80°
With the nearest neighbours (Å) after each atom.
Positions (direct):
Tl 0.2461 0.2461 0.3326  5 Au 3.09-3.25, 1 Ga 3.35
Tl 0.7539 0.7539 0.6674  5 Au 3.09-3.25, 1 Ga 3.35
Ga 0.4490 0.4490 0.7572  4 Au 2.63-2.67
Ga 0.5510 0.5510 0.2428  4 Au 2.63-2.67
Bi 0.1373 0.1373 0.8282  5 Au 2.92-3.13
Bi 0.8627 0.8627 0.1718  5 Au 2.92-3.13
Au 0.0815 0.0815 0.4357  2 Ga 2.67, 1 Bi 2.95
Au 0.3652 0.3652 0.9539  2 Ga 2.63-2.65, 2 Bi 2.92
Au 0.6348 0.6348 0.0461  2 Ga 2.63-2.65, 2 Bi 2.92
Au 0.9185 0.9185 0.5643  2 Ga 2.67, 1 Bi 2.95

Results
E_form = -0.06 eV/atom
V = 254.6 Å³ per cell
space-group type = C2/m, No. 12
raw total energy = -16.14 eV/f.u.